one:
# RbY2Bi2 | the Alexandria database | GGA-PBE | optimized geometry
# **Density**: 5.36 Mg/m³
# **Space group**: I4/mmm, No. 139
# **M_tot**: 0.93 μB/cell
data_RbY2Bi2
_symmetry_space_group_name_H-M 'P 1'
_symmetry_Int_Tables_number 1
_cell_length_a 5.235
_cell_length_b 5.235
_cell_length_c 8.542
_cell_angle_alpha 72.16
_cell_angle_beta 72.16
_cell_angle_gamma 90.00
loop_
_symmetry_equiv_pos_as_xyz
'x,y,z'
loop_
_atom_site_label
_atom_site_fract_x
_atom_site_fract_y
_atom_site_fract_z
Rb1 0.000 0.000 0.000
Bi1 0.364 0.364 0.273
Y1 0.250 0.750 0.500
Bi2 0.636 0.636 0.727
Y2 0.750 0.250 0.500

two:
# RbY2Bi2 | the Alexandria database | GGA-PBE | optimized geometry
# **Density**: 6.85 Mg/m³
# **Space group**: P4/mbm, No. 127
# **M_tot**: 1.96 μB/cell
data_RbY2Bi2
_symmetry_space_group_name_H-M 'P 1'
_symmetry_Int_Tables_number 1
_cell_length_a 9.173
_cell_length_b 9.173
_cell_length_c 3.926
_cell_angle_alpha 90.00
_cell_angle_beta 90.00
_cell_angle_gamma 90.00
loop_
_symmetry_equiv_pos_as_xyz
'x,y,z'
loop_
_atom_site_label
_atom_site_fract_x
_atom_site_fract_y
_atom_site_fract_z
Y1 0.372 0.872 0.000
Rb1 0.500 0.500 0.000
Bi1 0.163 0.663 0.500
Bi2 0.837 0.337 0.500
Y2 0.128 0.372 0.000
Y3 0.872 0.628 0.000
Bi3 0.663 0.837 0.500
Y4 0.628 0.128 0.000
Rb2 0.000 0.000 0.000
Bi4 0.337 0.163 0.500

The least stable of them is two.

one:
# Rb2ZnBi2 | the Alexandria database | GGA-PBE | optimized geometry
# **Density**: 5.75 Mg/m³
# **Space group**: P4/mbm, No. 127
# **M_tot**: 0.00 μB/cell
data_Rb2ZnBi2
_symmetry_space_group_name_H-M 'P 1'
_symmetry_Int_Tables_number 1
_cell_length_a 7.825
_cell_length_b 7.825
_cell_length_c 6.173
_cell_angle_alpha 90.00
_cell_angle_beta 90.00
_cell_angle_gamma 90.00
loop_
_symmetry_equiv_pos_as_xyz
'x,y,z'
loop_
_atom_site_label
_atom_site_fract_x
_atom_site_fract_y
_atom_site_fract_z
Rb1 0.166 0.666 0.500
Zn1 0.500 0.500 0.000
Rb2 0.334 0.166 0.500
Bi1 0.145 0.355 0.000
Rb3 0.666 0.834 0.500
Bi2 0.855 0.645 0.000
Bi3 0.355 0.855 0.000
Bi4 0.645 0.145 0.000
Zn2 0.000 0.000 0.000
Rb4 0.834 0.334 0.500

two:
# Rb2ZnBi2 | the Alexandria database | GGA-PBE | optimized geometry
# **Density**: 5.42 Mg/m³
# **Space group**: C2/c, No. 15
# **M_tot**: 0.00 μB/cell
data_Rb2ZnBi2
_symmetry_space_group_name_H-M 'P 1'
_symmetry_Int_Tables_number 1
_cell_length_a 6.916
_cell_length_b 6.916
_cell_length_c 8.976
_cell_angle_alpha 85.69
_cell_angle_beta 85.69
_cell_angle_gamma 69.64
loop_
_symmetry_equiv_pos_as_xyz
'x,y,z'
loop_
_atom_site_label
_atom_site_fract_x
_atom_site_fract_y
_atom_site_fract_z
Bi1 0.061 0.725 0.010
Rb1 0.779 0.553 0.346
Bi2 0.939 0.275 0.990
Rb2 0.447 0.221 0.154
Bi3 0.725 0.061 0.510
Rb3 0.553 0.779 0.846
Zn1 0.010 0.990 0.250
Bi4 0.275 0.939 0.490
Zn2 0.990 0.010 0.750
Rb4 0.221 0.447 0.654

The least stable of them is one.

one:
# RbZn3Bi3 | the Alexandria database | GGA-PBE | optimized geometry
# **Density**: 6.26 Mg/m³
# **Space group**: Pm-3n, No. 223
# **M_tot**: 0.00 μB/cell
data_RbZn3Bi3
_symmetry_space_group_name_H-M 'P 1'
_symmetry_Int_Tables_number 1
_cell_length_a 7.843
_cell_length_b 7.843
_cell_length_c 7.843
_cell_angle_alpha 90.00
_cell_angle_beta 90.00
_cell_angle_gamma 90.00
loop_
_symmetry_equiv_pos_as_xyz
'x,y,z'
loop_
_atom_site_label
_atom_site_fract_x
_atom_site_fract_y
_atom_site_fract_z
Rb1 0.500 0.500 0.500
Zn1 0.000 0.250 0.500
Zn2 0.250 0.500 0.000
Zn3 0.750 0.500 0.000
Bi1 0.000 0.500 0.250
Bi2 0.500 0.250 0.000
Rb2 0.000 0.000 0.000
Zn4 0.000 0.750 0.500
Zn5 0.500 0.000 0.250
Bi3 0.250 0.000 0.500
Bi4 0.500 0.750 0.000
Zn6 0.500 0.000 0.750
Bi5 0.000 0.500 0.750
Bi6 0.750 0.000 0.500

two:
# RbZn3Bi3 | the Alexandria database | GGA-PBE | optimized geometry
# **Density**: 6.34 Mg/m³
# **Space group**: R-3, No. 148
# **M_tot**: 0.00 μB/cell
data_RbZn3Bi3
_symmetry_space_group_name_H-M 'P 1'
_symmetry_Int_Tables_number 1
_cell_length_a 7.443
_cell_length_b 7.443
_cell_length_c 10.816
_cell_angle_alpha 69.87
_cell_angle_beta 69.87
_cell_angle_gamma 60.00
loop_
_symmetry_equiv_pos_as_xyz
'x,y,z'
loop_
_atom_site_label
_atom_site_fract_x
_atom_site_fract_y
_atom_site_fract_z
Bi1 0.904 0.226 0.291
Zn1 0.801 0.142 0.572
Zn2 0.199 0.858 0.428
Zn3 0.142 0.485 0.572
Zn4 0.485 0.801 0.572
Bi2 0.226 0.580 0.291
Bi3 0.096 0.774 0.709
Rb1 0.334 0.334 0.999
Zn5 0.858 0.515 0.428
Rb2 0.666 0.666 0.001
Bi4 0.580 0.904 0.291
Zn6 0.515 0.199 0.428
Bi5 0.774 0.420 0.709
Bi6 0.420 0.096 0.709

The least stable of them is one.

one:
# Rb3ZnBi | the Alexandria database | GGA-PBE | optimized geometry
# **Density**: 3.24 Mg/m³
# **Space group**: Ima2, No. 46
# **M_tot**: 0.00 μB/cell
data_Rb3ZnBi
_symmetry_space_group_name_H-M 'P 1'
_symmetry_Int_Tables_number 1
_cell_length_a 9.536
_cell_length_b 9.536
_cell_length_c 9.536
_cell_angle_alpha 79.33
_cell_angle_beta 124.93
_cell_angle_gamma 127.77
loop_
_symmetry_equiv_pos_as_xyz
'x,y,z'
loop_
_atom_site_label
_atom_site_fract_x
_atom_site_fract_y
_atom_site_fract_z
Rb1 0.034 0.296 0.764
Rb2 0.533 0.796 0.762
Rb3 0.122 0.281 0.341
Zn1 0.530 0.030 0.000
Rb4 0.533 0.270 0.236
Rb5 0.034 0.770 0.238
Bi1 0.482 0.780 0.201
Bi2 0.579 0.280 0.799
Zn2 0.030 0.530 0.000
Rb6 0.940 0.781 0.659

two:
# Rb3ZnBi | the Alexandria database | GGA-PBE | optimized geometry
# **Density**: 2.30 Mg/m³
# **Space group**: Pm-3m, No. 221
# **M_tot**: 0.00 μB/cell
data_Rb3ZnBi
_symmetry_space_group_name_H-M 'P 1'
_symmetry_Int_Tables_number 1
_cell_length_a 7.265
_cell_length_b 7.265
_cell_length_c 7.265
_cell_angle_alpha 90.00
_cell_angle_beta 90.00
_cell_angle_gamma 90.00
loop_
_symmetry_equiv_pos_as_xyz
'x,y,z'
loop_
_atom_site_label
_atom_site_fract_x
_atom_site_fract_y
_atom_site_fract_z
Bi1 0.000 0.000 0.000
Rb1 0.000 0.000 0.500
Rb2 0.000 0.500 0.000
Zn1 0.500 0.500 0.500
Rb3 0.500 0.000 0.000

The least stable of them is two.

one:
# RbZrBi3 | the Alexandria database | GGA-PBE | optimized geometry
# **Density**: 6.90 Mg/m³
# **Space group**: Pm-3m, No. 221
# **M_tot**: 0.00 μB/cell
data_RbZrBi3
_symmetry_space_group_name_H-M 'P 1'
_symmetry_Int_Tables_number 1
_cell_length_a 5.784
_cell_length_b 5.784
_cell_length_c 5.784
_cell_angle_alpha 90.00
_cell_angle_beta 90.00
_cell_angle_gamma 90.00
loop_
_symmetry_equiv_pos_as_xyz
'x,y,z'
loop_
_atom_site_label
_atom_site_fract_x
_atom_site_fract_y
_atom_site_fract_z
Rb1 0.500 0.500 0.500
Bi1 0.000 0.500 0.000
Zr1 0.000 0.000 0.000
Bi2 0.000 0.000 0.500
Bi3 0.500 0.000 0.000

two:
# RbZrBi3 | the Alexandria database | GGA-PBE | optimized geometry
# **Density**: 6.71 Mg/m³
# **Space group**: Pm-3m, No. 221
# **M_tot**: 0.00 μB/cell
data_RbZrBi3
_symmetry_space_group_name_H-M 'P 1'
_symmetry_Int_Tables_number 1
_cell_length_a 5.836
_cell_length_b 5.836
_cell_length_c 5.836
_cell_angle_alpha 90.00
_cell_angle_beta 90.00
_cell_angle_gamma 90.00
loop_
_symmetry_equiv_pos_as_xyz
'x,y,z'
loop_
_atom_site_label
_atom_site_fract_x
_atom_site_fract_y
_atom_site_fract_z
Bi1 0.500 0.000 0.000
Bi2 0.000 0.500 0.000
Rb1 0.000 0.000 0.000
Bi3 0.000 0.000 0.500
Zr1 0.500 0.500 0.500

The least stable of them is two.

one:
# RbZr2Bi2 | the Alexandria database | GGA-PBE | optimized geometry
# **Density**: 7.88 Mg/m³
# **Space group**: P4/mbm, No. 127
# **M_tot**: 0.00 μB/cell
data_RbZr2Bi2
_symmetry_space_group_name_H-M 'P 1'
_symmetry_Int_Tables_number 1
_cell_length_a 9.286
_cell_length_b 9.286
_cell_length_c 3.354
_cell_angle_alpha 90.00
_cell_angle_beta 90.00
_cell_angle_gamma 90.00
loop_
_symmetry_equiv_pos_as_xyz
'x,y,z'
loop_
_atom_site_label
_atom_site_fract_x
_atom_site_fract_y
_atom_site_fract_z
Bi1 0.671 0.829 0.500
Bi2 0.829 0.329 0.500
Bi3 0.329 0.171 0.500
Rb1 0.500 0.500 0.000
Zr1 0.388 0.888 0.000
Zr2 0.112 0.388 0.000
Zr3 0.888 0.612 0.000
Zr4 0.612 0.112 0.000
Rb2 0.000 0.000 0.000
Bi4 0.171 0.671 0.500

two:
# RbZr2Bi2 | the Alexandria database | GGA-PBE | optimized geometry
# **Density**: 6.45 Mg/m³
# **Space group**: I4/mmm, No. 139
# **M_tot**: 0.00 μB/cell
data_RbZr2Bi2
_symmetry_space_group_name_H-M 'P 1'
_symmetry_Int_Tables_number 1
_cell_length_a 4.772
_cell_length_b 4.772
_cell_length_c 8.454
_cell_angle_alpha 73.60
_cell_angle_beta 73.60
_cell_angle_gamma 90.00
loop_
_symmetry_equiv_pos_as_xyz
'x,y,z'
loop_
_atom_site_label
_atom_site_fract_x
_atom_site_fract_y
_atom_site_fract_z
Zr1 0.250 0.750 0.500
Zr2 0.750 0.250 0.500
Bi1 0.366 0.366 0.267
Rb1 0.000 0.000 0.000
Bi2 0.634 0.634 0.733

The least stable of them is one.